## CsAgF4 (PBE)

Data for CsAgF4 after structural relaxation.

abc: 7.167 7.167 6.870
angles: 105.69 105.69 46.73
Atoms (fractional coordinates):
Cs 0.208 0.792 0.750
Cs 0.792 0.208 0.250
Ag 0.000 0.500 0.000
Ag 0.500 0.000 0.500
F 0.192 0.236 0.646
F 0.225 0.581 0.095
F 0.236 0.192 0.146
F 0.419 0.775 0.405
F 0.581 0.225 0.595
F 0.764 0.808 0.854
F 0.775 0.419 0.905
F 0.808 0.764 0.354

formation energy without anion corrections: -1.739 eV per atom
calculated total energy: -3.604 eV/atom

=====

## Cs3Ag2F8 (PBE)

Data for Cs3Ag2F8 after structural relaxation.

abc: 9.321 9.321 9.321
angles: 39.70 39.70 39.70
Atoms (fractional coordinates):
Cs 0.000 0.000 0.000
Cs 0.201 0.201 0.201
Cs 0.799 0.799 0.799
Ag 0.397 0.397 0.397
Ag 0.603 0.603 0.603
F 0.228 0.733 0.733
F 0.267 0.267 0.772
F 0.267 0.772 0.267
F 0.315 0.315 0.315
F 0.685 0.685 0.685
F 0.733 0.228 0.733
F 0.733 0.733 0.228
F 0.772 0.267 0.267

formation energy without anion corrections: -1.732 eV per atom
calculated total energy: -3.519 eV/atom

=====

## Cs2Ag2F7 (PBE)

Data for Cs2Ag2F7 after structural relaxation.

abc: 5.528 6.693 6.709
angles: 79.07 82.91 85.51
Atoms (fractional coordinates):
Cs 0.247 0.239 0.086
Cs 0.753 0.761 0.914
Ag 0.290 0.687 0.416
Ag 0.710 0.313 0.584
F 0.000 0.500 0.500
F 0.198 0.761 0.130
F 0.376 0.606 0.705
F 0.438 0.122 0.673
F 0.562 0.878 0.327
F 0.624 0.394 0.295
F 0.802 0.239 0.870

formation energy without anion corrections: -1.743 eV per atom
calculated total energy: -3.607 eV/atom

=====

## Cs2AgF4 (PBE)

Data for Cs2AgF4 after structural relaxation.

abc: 7.948 7.948 6.592
angles: 90.00 90.00 48.97
Atoms (fractional coordinates):
Cs 0.142 0.142 0.000
Cs 0.358 0.358 0.500
Cs 0.642 0.642 0.500
Cs 0.858 0.858 0.000
Ag 0.000 0.000 0.500
Ag 0.500 0.500 0.000
F 0.151 0.151 0.500
F 0.231 0.769 0.730
F 0.269 0.731 0.230
F 0.349 0.349 0.000
F 0.651 0.651 0.000
F 0.731 0.269 0.770
F 0.769 0.231 0.270
F 0.849 0.849 0.500

formation energy without anion corrections: -2.111 eV per atom
calculated total energy: -3.831 eV/atom

=====

## CsAg3F4 (PBE)

Data for CsAg3F4 after structural relaxation.

abc: 6.018 6.018 6.018
angles: 115.34 115.34 98.29
Atoms (fractional coordinates):
Cs 0.000 0.000 0.000
Ag 0.250 0.750 0.500
Ag 0.500 0.500 0.000
Ag 0.750 0.250 0.500
F 0.108 0.524 0.000
F 0.476 0.476 0.584
F 0.524 0.108 0.000
F 0.892 0.892 0.416

formation energy without anion corrections: -1.366 eV per atom
calculated total energy: -3.478 eV/atom

=====

## Cs4AgF5 (PBE)

Data for Cs4AgF5 after structural relaxation.

abc: 7.194 7.194 7.194
angles: 100.33 100.33 129.90
Atoms (fractional coordinates):
Cs 0.101 0.295 0.396
Cs 0.295 0.899 0.194
Cs 0.705 0.101 0.806
Cs 0.899 0.705 0.604
Ag 0.533 0.533 0.000
F 0.229 0.581 0.822
F 0.408 0.229 0.649
F 0.581 0.759 0.351
F 0.759 0.408 0.178
F 0.934 0.934 0.000

formation energy without anion corrections: -2.286 eV per atom
calculated total energy: -3.848 eV/atom

=====

## CsAg7F12 (PBE)

Data for CsAg7F12 after structural relaxation.

abc: 7.545 7.545 7.545
angles: 109.47 109.47 109.47
Atoms (fractional coordinates):
Cs 0.000 0.000 0.000
Ag 0.000 0.000 0.500
Ag 0.000 0.500 0.000
Ag 0.000 0.500 0.500
Ag 0.500 0.000 0.000
Ag 0.500 0.000 0.500
Ag 0.500 0.500 0.000
Ag 0.500 0.500 0.500
F 0.145 0.320 0.825
F 0.175 0.494 0.320
F 0.175 0.855 0.680
F 0.320 0.175 0.494
F 0.320 0.825 0.145
F 0.494 0.320 0.175
F 0.506 0.680 0.825
F 0.680 0.175 0.855
F 0.680 0.825 0.506
F 0.825 0.145 0.320
F 0.825 0.506 0.680
F 0.855 0.680 0.175

formation energy without anion corrections: -1.297 eV per atom
calculated total energy: -3.460 eV/atom

=====

## CsAg3F (PBE)

Data for CsAg3F after structural relaxation.

abc: 6.472 6.472 6.472
angles: 90.00 90.00 90.00
Atoms (fractional coordinates):
Cs 0.000 0.000 0.000
Ag 0.000 0.000 0.500
Ag 0.000 0.500 0.000
Ag 0.500 0.000 0.000
F 0.500 0.500 0.500

formation energy without anion corrections: 0.937 eV per atom
calculated total energy: -1.318 eV/atom

=====

## Cs3AgF6 (PBE)

Data for Cs3AgF6 after structural relaxation.

abc: 6.914 6.941 11.885
angles: 90.00 124.72 90.00
Atoms (fractional coordinates):
Cs 0.000 0.000 0.000
Cs 0.000 0.500 0.500
Cs 0.261 0.037 0.752
Cs 0.261 0.463 0.252
Cs 0.739 0.537 0.748
Cs 0.739 0.963 0.248
Ag 0.500 0.000 0.500
Ag 0.500 0.500 0.000
F 0.211 0.026 0.290
F 0.211 0.474 0.790
F 0.294 0.679 0.040
F 0.294 0.821 0.540
F 0.376 0.249 0.547
F 0.376 0.251 0.047
F 0.624 0.749 0.953
F 0.624 0.751 0.453
F 0.706 0.179 0.460
F 0.706 0.321 0.960
F 0.789 0.526 0.210
F 0.789 0.974 0.710

formation energy without anion corrections: -2.123 eV per atom
calculated total energy: -3.787 eV/atom

=====

## Cs2Ag2F7 (PBE)

Data for Cs2Ag2F7 after structural relaxation.

abc: 7.651 7.651 4.215
angles: 90.11 90.11 117.93
Atoms (fractional coordinates):
Cs 0.200 0.800 0.000
Cs 0.800 0.200 0.000
Ag 0.296 0.296 0.502
Ag 0.704 0.704 0.498
F 0.000 0.000 0.500
F 0.146 0.451 0.502
F 0.299 0.299 0.002
F 0.451 0.146 0.502
F 0.549 0.854 0.498
F 0.701 0.701 0.998
F 0.854 0.549 0.498

formation energy without anion corrections: -1.747 eV per atom
calculated total energy: -3.611 eV/atom

=====

## Cs3Ag2F7 (PBE)

Data for Cs3Ag2F7 after structural relaxation.

abc: 12.303 12.303 4.459
angles: 90.00 90.00 158.46
Atoms (fractional coordinates):
Cs 0.000 0.000 0.000
Cs 0.179 0.821 0.000
Cs 0.821 0.179 0.000
Ag 0.408 0.592 0.500
Ag 0.592 0.408 0.500
F 0.092 0.908 0.500
F 0.317 0.683 0.500
F 0.409 0.591 0.000
F 0.500 0.500 0.500
F 0.591 0.409 0.000
F 0.683 0.317 0.500
F 0.908 0.092 0.500

formation energy without anion corrections: -1.993 eV per atom
calculated total energy: -3.773 eV/atom

=====

## Cs2Ag3F10 (PBE)

Data for Cs2Ag3F10 after structural relaxation.

abc: 10.661 10.661 9.002
angles: 110.32 110.32 36.63
Atoms (fractional coordinates):
Cs 0.115 0.115 0.228
Cs 0.207 0.207 0.808
Cs 0.793 0.793 0.192
Cs 0.885 0.885 0.772
Ag 0.255 0.745 0.500
Ag 0.318 0.318 0.491
Ag 0.422 0.422 0.023
Ag 0.578 0.578 0.977
Ag 0.682 0.682 0.509
Ag 0.745 0.255 0.500
F 0.000 0.500 0.500
F 0.021 0.021 0.663
F 0.135 0.571 0.018
F 0.162 0.626 0.486
F 0.272 0.272 0.255
F 0.305 0.695 0.000
F 0.361 0.361 0.730
F 0.374 0.838 0.514
F 0.429 0.865 0.982
F 0.476 0.476 0.323
F 0.500 0.000 0.500
F 0.524 0.524 0.677
F 0.571 0.135 0.018
F 0.626 0.162 0.486
F 0.639 0.639 0.270
F 0.695 0.305 0.000
F 0.728 0.728 0.745
F 0.838 0.374 0.514
F 0.865 0.429 0.982
F 0.979 0.979 0.337

formation energy without anion corrections: -1.583 eV per atom
calculated total energy: -3.514 eV/atom

=====

## Cs2AgF4 (PBE)

Data for Cs2AgF4 after structural relaxation.

abc: 8.026 8.026 8.026
angles: 146.92 146.92 47.48
Atoms (fractional coordinates):
Cs 0.144 0.144 0.000
Cs 0.856 0.856 0.000
Ag 0.500 0.500 0.000
F 0.000 0.500 0.500
F 0.350 0.350 0.000
F 0.500 0.000 0.500
F 0.650 0.650 0.000

formation energy without anion corrections: -2.105 eV per atom
calculated total energy: -3.825 eV/atom

=====

## CsAg4F12 (PBE)

Data for CsAg4F12 after structural relaxation.

abc: 7.341 7.341 7.341
angles: 109.47 109.47 109.47
Atoms (fractional coordinates):
Cs 0.000 0.000 0.000
Ag 0.000 0.000 0.500
Ag 0.000 0.500 0.000
Ag 0.500 0.000 0.000
Ag 0.500 0.500 0.500
F 0.001 0.751 0.251
F 0.249 0.251 0.500
F 0.249 0.749 0.999
F 0.251 0.001 0.751
F 0.251 0.500 0.249
F 0.500 0.249 0.251
F 0.500 0.751 0.749
F 0.749 0.500 0.751
F 0.749 0.999 0.249
F 0.751 0.251 0.001
F 0.751 0.749 0.500
F 0.999 0.249 0.749

formation energy without anion corrections: -1.269 eV per atom
calculated total energy: -3.311 eV/atom

=====

## CsAg6F8 (PBE)

Data for CsAg6F8 after structural relaxation.

abc: 9.013 9.013 3.704
angles: 90.00 90.00 120.00
Atoms (fractional coordinates):
Cs 0.000 0.000 0.000
Ag 0.140 0.473 0.750
Ag 0.333 0.860 0.750
Ag 0.473 0.333 0.250
Ag 0.527 0.667 0.750
Ag 0.667 0.140 0.250
Ag 0.860 0.527 0.250
F 0.020 0.687 0.742
F 0.313 0.333 0.742
F 0.333 0.020 0.258
F 0.333 0.667 0.239
F 0.667 0.333 0.761
F 0.667 0.980 0.742
F 0.687 0.667 0.258
F 0.980 0.313 0.258

formation energy without anion corrections: -1.222 eV per atom
calculated total energy: -3.418 eV/atom

=====

## Cs2Ag3F6 (PBE)

Data for Cs2Ag3F6 after structural relaxation.

abc: 7.708 7.708 4.374
angles: 90.00 90.00 120.00
Atoms (fractional coordinates):
Cs 0.333 0.667 0.000
Cs 0.667 0.333 0.000
Ag 0.000 0.220 0.500
Ag 0.220 0.000 0.500
Ag 0.780 0.780 0.500
F 0.000 0.254 0.000
F 0.000 0.649 0.500
F 0.254 0.000 0.000
F 0.351 0.351 0.500
F 0.649 0.000 0.500
F 0.746 0.746 0.000

formation energy without anion corrections: -1.631 eV per atom
calculated total energy: -3.584 eV/atom

=====

## CsAg2F (PBE)

Data for CsAg2F after structural relaxation.

abc: 9.982 9.982 9.982
angles: 20.52 20.52 20.52
Atoms (fractional coordinates):
Cs 0.000 0.000 0.000
Ag 0.115 0.115 0.115
Ag 0.885 0.885 0.885
F 0.500 0.500 0.500

formation energy without anion corrections: -0.075 eV per atom
calculated total energy: -2.182 eV/atom

=====

## CsAg3F3 (PBE)

Data for CsAg3F3 after structural relaxation.

abc: 8.861 8.861 4.240
angles: 90.00 90.00 120.00
Atoms (fractional coordinates):
Cs 0.333 0.667 0.250
Cs 0.667 0.333 0.750
Ag 0.016 0.208 0.750
Ag 0.192 0.984 0.750
Ag 0.208 0.192 0.250
Ag 0.792 0.808 0.750
Ag 0.808 0.016 0.250
Ag 0.984 0.792 0.250
F 0.081 0.685 0.750
F 0.315 0.396 0.750
F 0.396 0.081 0.250
F 0.604 0.919 0.750
F 0.685 0.604 0.250
F 0.919 0.315 0.250

formation energy without anion corrections: -1.258 eV per atom
calculated total energy: -3.404 eV/atom

=====

## Cs3Ag2F7 (PBE)

Data for Cs3Ag2F7 after structural relaxation.

abc: 12.220 12.220 12.220
angles: 158.57 158.57 30.49
Atoms (fractional coordinates):
Cs 0.000 0.000 0.000
Cs 0.184 0.184 0.000
Cs 0.816 0.816 0.000
Ag 0.406 0.406 0.000
Ag 0.594 0.594 0.000
F 0.093 0.593 0.500
F 0.312 0.312 0.000
F 0.407 0.907 0.500
F 0.500 0.500 0.000
F 0.593 0.093 0.500
F 0.688 0.688 0.000
F 0.907 0.407 0.500

formation energy without anion corrections: -2.012 eV per atom
calculated total energy: -3.792 eV/atom

=====

## Cs3AgF6 (PBE)

Data for Cs3AgF6 after structural relaxation.

abc: 6.939 6.939 6.939
angles: 60.00 60.00 60.00
Atoms (fractional coordinates):
Cs 0.000 0.000 0.000
Cs 0.250 0.250 0.250
Cs 0.750 0.750 0.750
Ag 0.500 0.500 0.500
F 0.284 0.284 0.716
F 0.284 0.716 0.284
F 0.284 0.716 0.716
F 0.716 0.284 0.284
F 0.716 0.284 0.716
F 0.716 0.716 0.284

formation energy without anion corrections: -2.110 eV per atom
calculated total energy: -3.773 eV/atom